Computed, not measured: a relaxed SrY2OsO8 crystal at the PBE level of DFT.

It has space group Cmmm (No. 65), with a = 7.141 Å, b = 7.293 Å, c = 7.015 Å, α = 90.00°, β = 90.00° and γ = 90.00°. The inequivalent atoms are Sr at (0.000, 0.000, 0.000), Y at (0.000, 0.500, 0.242), Os at (0.000, 0.000, 0.500), O at (0.000, 0.260, 0.500), O at (0.000, 0.321, 0.000) and O at (0.185, 0.000, 0.311).

The total energy is -7.739 eV per atom. The total magnetization comes out at 0.0 μB per formula unit.

---

Computed, not measured: a relaxed SrYOsO2 crystal at the PBE level of DFT.

It has space group P4/mmm (No. 123), with a = 4.227 Å, b = 4.227 Å, c = 5.197 Å, α = 90.00°, β = 90.00° and γ = 90.00°. The inequivalent atoms are Sr at (0.000, 0.000, 0.000), Y at (0.500, 0.500, 0.000), Os at (0.500, 0.500, 0.500) and O at (0.000, 0.500, 0.500).

The total energy is -5.800 eV per atom. The total magnetization comes out at 0.3 μB per formula unit.

---

Q: Which value of total energy does entry 2 give?
A: -5.800 eV per atom

---

Please write out number 1 again, unchanged.
Computed, not measured: a relaxed SrY2OsO8 crystal at the PBE level of DFT.

It has space group Cmmm (No. 65), with a = 7.141 Å, b = 7.293 Å, c = 7.015 Å, α = 90.00°, β = 90.00° and γ = 90.00°. The inequivalent atoms are Sr at (0.000, 0.000, 0.000), Y at (0.000, 0.500, 0.242), Os at (0.000, 0.000, 0.500), O at (0.000, 0.260, 0.500), O at (0.000, 0.321, 0.000) and O at (0.185, 0.000, 0.311).

The total energy is -7.739 eV per atom. The total magnetization comes out at 0.0 μB per formula unit.

---

Q: Which of these has the highest total energy?
A: SrYOsO2